A relaxed structure of K2ScBr5, computed with PBE.

Unit cell a=9.7977 b=7.5197 c=14.9938 alpha=90.00 beta=90.00 gamma=90.00
Positions (direct):
1 K 0.0515 0.2500 0.1953
2 K 0.1821 0.7500 0.4129
3 K 0.3179 0.2500 0.9129
4 K 0.4485 0.7500 0.6953
5 K 0.5515 0.2500 0.3047
6 K 0.6821 0.7500 0.0871
7 K 0.8179 0.2500 0.5871
8 K 0.9485 0.7500 0.8047
9 Sc 0.1927 0.7500 0.0572
10 Sc 0.3073 0.2500 0.5572
11 Sc 0.6927 0.7500 0.4428
12 Sc 0.8073 0.2500 0.9428
13 Br 0.0000 0.0000 0.0000
14 Br 0.0000 0.5000 0.0000
15 Br 0.0547 0.7500 0.2072
16 Br 0.1469 0.5035 0.6037
17 Br 0.1469 0.9965 0.6037
18 Br 0.2278 0.2500 0.3854
19 Br 0.2722 0.7500 0.8854
20 Br 0.3531 0.0035 0.1037
21 Br 0.3531 0.4965 0.1037
22 Br 0.4453 0.2500 0.7072
23 Br 0.5000 0.0000 0.5000
24 Br 0.5000 0.5000 0.5000
25 Br 0.5547 0.7500 0.2928
26 Br 0.6469 0.5035 0.8963
27 Br 0.6469 0.9965 0.8963
28 Br 0.7278 0.2500 0.1146
29 Br 0.7722 0.7500 0.6146
30 Br 0.8531 0.0035 0.3963
31 Br 0.8531 0.4965 0.3963
32 Br 0.9453 0.2500 0.7928

Computed properties:
Energy relative to the elements, uncorrected (eV per atom): -1.73
SG: No. 62
Uncorrected energy (eV/atom): -3.84
Density of states at the Fermi level (states/eV/cell): 0.00
ρ (g/cm³): 3.14